! NdPIrO | the Open Quantum Materials Database | PBE | relaxed; values from VASP
&SYSTEM
  ibrav = 0, nat = 8, ntyp = 4
/
ATOMIC_SPECIES
Nd 144.24 Nd.upf
Ir 192.22 Ir.upf
O 16.00 O.upf
P 30.97 P.upf
ATOMIC_POSITIONS crystal
Nd 0.500 0.751 0.603
Ir 0.000 0.748 0.939
O 0.500 0.749 0.938
O 0.500 0.251 0.438
Nd 0.500 0.249 0.103
P 0.000 0.751 0.274
Ir 0.000 0.252 0.439
P 0.000 0.249 0.774
CELL_PARAMETERS angstrom
4.566 0.000 0.000
0.000 4.120 0.000
0.000 0.000 7.028
! final energy = -59.30 eV/cell
! space group = Pmc2_1 (26)